Entry 1:
! Tb9Dy2Er (PBE, optimized geometry); values from VASP
&SYSTEM
  ibrav = 0, nat = 12, ntyp = 3
/
ATOMIC_SPECIES
Tb 158.93 Tb.upf
Dy 162.50 Dy.upf
Er 167.26 Er.upf
ATOMIC_POSITIONS crystal
Tb 0.000 0.000 0.000
Tb 0.000 0.000 0.333
Tb 0.000 0.000 0.667
Tb 0.000 0.500 0.166
Tb 0.000 0.500 0.500
Tb 0.000 0.500 0.834
Tb 0.500 0.000 0.166
Tb 0.500 0.000 0.500
Tb 0.500 0.000 0.834
Dy 0.500 0.500 0.333
Dy 0.500 0.500 0.667
Er 0.500 0.500 0.000
CELL_PARAMETERS angstrom
5.015 0.000 0.000
0.000 5.015 0.000
0.000 0.000 15.047
! Energy relative to the lowest polymorph listed for this composition = 0 meV/atom
! V = 378 Å³ per cell
! DOS(E_F) = 1.5581 states/eV/atom
! Energy relative to the elements = 0.019 eV per atom
! Total magnetic moment = 0.000 μB/f.u.

=====

Entry 2:
! Ac3PuRh3 (PBE, optimized geometry); values from VASP
&SYSTEM
  ibrav = 0, nat = 14, ntyp = 3
/
ATOMIC_SPECIES
Ac 227.00 Ac.upf
Pu 244.00 Pu.upf
Rh 102.91 Rh.upf
ATOMIC_POSITIONS crystal
Ac 0.174 0.826 0.000
Ac 0.252 0.748 0.500
Ac 0.339 0.339 0.142
Ac 0.661 0.661 0.858
Ac 0.748 0.252 0.500
Ac 0.826 0.174 0.000
Pu 0.228 0.228 0.648
Pu 0.772 0.772 0.352
Rh 0.041 0.481 0.793
Rh 0.071 0.071 0.317
Rh 0.481 0.041 0.793
Rh 0.519 0.959 0.207
Rh 0.929 0.929 0.683
Rh 0.959 0.519 0.207
CELL_PARAMETERS angstrom
4.731 -5.487 0.000
4.731 5.487 0.000
-0.152 0.000 7.571
! V = 393 Å³ per cell
! DOS(E_F) = 1.8408 states/eV/atom
! Energy relative to the elements = -0.453 eV per atom
! Total magnetic moment = 5.262 μB/f.u.

=====

Entry 3:
! Er2BeCo5B2 (PBE, optimized geometry); values from VASP
&SYSTEM
  ibrav = 0, nat = 20, ntyp = 4
/
ATOMIC_SPECIES
Er 167.26 Er.upf
Be 9.01 Be.upf
Co 58.93 Co.upf
B 10.81 B.upf
ATOMIC_POSITIONS crystal
Er 0.177 0.323 0.000
Er 0.323 0.823 0.000
Er 0.677 0.177 0.000
Er 0.823 0.677 0.000
Be 0.000 0.000 0.000
Be 0.500 0.500 0.000
Co 0.000 0.500 0.500
Co 0.067 0.781 0.500
Co 0.219 0.067 0.500
Co 0.281 0.567 0.500
Co 0.433 0.281 0.500
Co 0.500 0.000 0.500
Co 0.567 0.719 0.500
Co 0.719 0.433 0.500
Co 0.781 0.933 0.500
Co 0.933 0.219 0.500
B 0.121 0.621 0.000
B 0.379 0.121 0.000
B 0.621 0.879 0.000
B 0.879 0.379 0.000
CELL_PARAMETERS angstrom
8.862 0.000 0.000
0.000 8.862 0.000
0.000 0.000 2.977
! V = 234 Å³ per cell
! DOS(E_F) = 0.7052 states/eV/atom
! Energy relative to the elements = -0.302 eV per atom
! Total magnetic moment = 0.001 μB/f.u.

=====

Entry 4:
! Ti2V2H3 (PBE, optimized geometry); values from VASP
&SYSTEM
  ibrav = 0, nat = 7, ntyp = 3
/
ATOMIC_SPECIES
Ti 47.87 Ti.upf
V 50.94 V.upf
H 1.01 H.upf
ATOMIC_POSITIONS crystal
Ti 0.112 0.112 0.342
Ti 0.888 0.888 0.658
V 0.368 0.368 0.125
V 0.632 0.632 0.875
H 0.252 0.252 0.740
H 0.500 0.500 0.500
H 0.748 0.748 0.260
CELL_PARAMETERS angstrom
4.884 -1.515 0.000
4.884 1.515 0.000
-1.561 0.000 4.440
! V = 66 Å³ per cell
! DOS(E_F) = 0.8597 states/eV/atom
! Total magnetic moment = 0.000 μB/f.u.

=====

Quick rundown of E_tot, same order as above: -4.60; -7.41; -6.48; -6.52 eV per atom